1.
Crystalline HfBi2O6 at its relaxed geometry, computed with PBE-GGA.

## Properties
Fermi-level density of states, states/eV/f.u.: 4.52
VASP energy, eV/f.u.: -61.1
SG: No. 121

Cell: 8.3171 8.3171 8.3171 Å, 150.57 150.57 42.10°
With the nearest neighbours (Å) after each atom.
Element x y z (fractional)
Hf 0.0000 0.0000 0.0000  4 O 1.95
Bi 0.3228 0.3228 0.0000  2 O 2.12
Bi 0.6772 0.6772 0.0000  2 O 2.12
O 0.1728 0.1728 0.5047  1 Hf 1.95, 1 Bi 2.12
O 0.2500 0.7500 0.5000  4 Bi 2.40
O 0.3319 0.8272 0.0000  1 Hf 1.95, 1 Bi 2.12
O 0.6681 0.6681 0.4953  1 Hf 1.95, 1 Bi 2.12
O 0.7500 0.2500 0.5000  4 Bi 2.40
O 0.8272 0.3319 0.0000  1 Hf 1.95, 1 Bi 2.12

---

2.
Crystalline Hf2Bi5O12 at its relaxed geometry, computed with PBE-GGA.

## Properties
Fermi-level density of states, states/eV/f.u.: 4.58
VASP energy, eV/f.u.: -134.5
SG: No. 12

Cell: 7.2376 7.2376 7.4128 Å, 105.71 105.71 51.86°
With the nearest neighbours (Å) after each atom.
Element x y z (fractional)
Hf 0.2457 0.7543 0.0000  6 O 2.07-2.12
Hf 0.7543 0.2457 0.0000  6 O 2.07-2.12
Bi 0.0000 0.0000 0.5000  6 O 2.31-2.34
Bi 0.2917 0.2917 0.6484  4 O 2.32-2.35
Bi 0.3119 0.3119 0.1700  7 O 2.36-2.51
Bi 0.6881 0.6881 0.8300  7 O 2.36-2.51
Bi 0.7083 0.7083 0.3516  4 O 2.32-2.35
O 0.9999 0.9999 0.1838  2 Hf 2.07
O 0.0001 0.0001 0.8162  2 Hf 2.07
O 0.0878 0.6239 0.4204  3 Bi 2.31-2.45
O 0.1097 0.5559 0.9087  1 Hf 2.09, 1 Bi 2.32
O 0.3761 0.9122 0.5796  3 Bi 2.31-2.45
O 0.4441 0.8903 0.0913  1 Hf 2.09, 1 Bi 2.32
O 0.4953 0.4953 0.1840  2 Hf 2.12, 1 Bi 2.36
O 0.5047 0.5047 0.8160  2 Hf 2.12, 1 Bi 2.36
O 0.5559 0.1097 0.9087  1 Hf 2.09, 1 Bi 2.32
O 0.6239 0.0878 0.4204  3 Bi 2.31-2.45
O 0.8903 0.4441 0.0913  1 Hf 2.09, 1 Bi 2.32
O 0.9122 0.3761 0.5796  3 Bi 2.31-2.45

---

3.
Crystalline HfBi3O at its relaxed geometry, computed with PBE-GGA.

## Properties
Relative energy among the computed polymorphs, meV per atom: 838
Fermi-level density of states, states/eV/f.u.: 21.43
SG: No. 221

Cell: 5.5493 5.5493 5.5493 Å, 90.00 90.00 90.00°
With the nearest neighbours (Å) after each atom.
Element x y z (fractional)
Hf 0.0000 0.0000 0.0000  6 Bi 2.77
Bi 0.0000 0.0000 0.5000  2 Hf 2.77
Bi 0.0000 0.5000 0.0000  2 Hf 2.77
Bi 0.5000 0.0000 0.0000  2 Hf 2.77
O 0.5000 0.5000 0.5000  12 Bi 3.92